Material: DyYGe2Ir
Method: DFT, PBE-GGA
State: relaxed

a = 5.6877 Å, b = 5.6877 Å, c = 10.3298 Å
α = 114.74°, β = 114.74°, γ = 44.52°
Positions (direct):
Ge 0.4799 0.4799 0.1157
Dy 0.0082 0.0082 0.3300
Ge 0.5201 0.5201 0.8843
Ir 0.2715 0.2715 0.6643
Y 0.8101 0.8101 0.8821
Ir 0.7285 0.7285 0.3357
Ge 0.6473 0.6473 0.5529
Ge 0.3527 0.3527 0.4471
Dy 0.9918 0.9918 0.6700
Y 0.1899 0.1899 0.1179

Calculated total energy in eV per cell: -67.61
Space-group type: No. 12
Crystal system: monoclinic
Offset from the most stable computed form in kcal/mol of atoms: 0.00